The following is a meta-GGA SCAN calculation of a crystal of LaTi3H relaxed with PBEsol, from the Alexandria database.

Values from the calculation:
The magnetic moment comes out at 0.00 μB per cell. The space group is Pm-3m. The calculation puts the energy at -18.769 eV per atom.

Structure (POSCAR):
```
LaTi3H
1.0
4.290 0.000 0.000
0.000 4.290 0.000
0.000 0.000 4.290
La Ti H
1 3 1
direct
0.000 0.000 0.000
0.000 0.500 0.500
0.500 0.000 0.500
0.500 0.500 0.000
0.500 0.500 0.500
```

The following is a meta-GGA SCAN calculation of a crystal of La2TlH relaxed with PBEsol, from the Alexandria database.

Values from the calculation:
The magnetic moment comes out at 0.00 μB per cell. The space group is I-42d. The calculation puts the energy at -41.014 eV per atom.

Structure (POSCAR):
```
La2TlH
1.0
7.229 0.000 0.000
0.000 7.229 0.000
0.000 0.000 7.641
La Tl H
8 4 4
direct
0.161 0.250 0.125
0.250 0.661 0.375
0.250 0.839 0.875
0.339 0.250 0.625
0.661 0.750 0.625
0.750 0.161 0.875
0.750 0.339 0.375
0.839 0.750 0.125
0.000 0.000 0.500
0.000 0.500 0.750
0.500 0.000 0.250
0.500 0.500 0.000
0.000 0.000 0.000
0.000 0.500 0.250
0.500 0.000 0.750
0.500 0.500 0.500
```

The following is a meta-GGA SCAN calculation of a crystal of LaY2H2 relaxed with PBEsol, from the Alexandria database.

Values from the calculation:
The magnetic moment comes out at 4.09 μB per cell. The space group is P4/mbm. The value obtained for the energy above the most stable polymorph in this dataset is 0.8128 eV per atom.

Structure (POSCAR):
```
LaY2H2
1.0
8.559 0.000 0.000
0.000 8.559 0.000
0.000 0.000 3.020
La Y H
2 4 4
direct
0.000 0.000 0.000
0.500 0.500 0.000
0.126 0.374 0.000
0.374 0.874 0.000
0.626 0.126 0.000
0.874 0.626 0.000
0.083 0.583 0.500
0.417 0.083 0.500
0.583 0.917 0.500
0.917 0.417 0.500
```

Number 1: calculated volume 15.8 Å³/atom. Number 2: calculated volume 25.0 Å³/atom. Number 3: calculated volume 22.1 Å³/atom.